Entry 1:
Here is crystalline GaAs2RhSe at its relaxed geometry from Alexandria. Energies are from PBE.

Unit cell a=4.694 b=4.694 c=5.458 alpha=90.00 beta=90.00 gamma=90.00
Positions (direct):
Rh 0.000 0.000 0.000
Ga 0.500 0.500 0.500
As 0.500 0.000 0.000
As 0.000 0.500 0.000
Se 0.000 0.000 0.500

Crystal system: tetragonal
Distance to the lowest polymorph of the same formula (kJ/mol of formula units): 0
Energy relative to the elements, uncorrected (meV/atom): 331
M_tot (μB/atom): 0.00


Entry 2:
Here is crystalline Dy12Ho2Sc at its relaxed geometry from Alexandria. Energies are from PBE.

Unit cell a=6.604 b=6.604 c=24.494 alpha=85.12 beta=94.88 gamma=63.33
Positions (direct):
Dy 0.848 0.652 0.431
Dy 0.179 0.321 0.580
Dy 0.321 0.179 0.420
Dy 0.464 0.519 0.672
Dy 0.426 0.639 0.197
Dy 0.247 0.253 0.156
Dy 0.519 0.464 0.328
Dy 0.861 0.074 0.197
Dy 0.146 0.832 0.556
Dy 0.652 0.848 0.569
Dy 0.354 0.668 0.444
Dy 0.832 0.146 0.444
Dy 0.668 0.354 0.556
Dy 0.981 0.036 0.672
Dy 0.639 0.426 0.803
Dy 0.767 0.733 0.886
Dy 0.920 0.139 0.933
Dy 0.361 0.580 0.933
Dy 0.253 0.247 0.844
Dy 0.733 0.767 0.114
Dy 0.036 0.981 0.328
Dy 0.139 0.920 0.067
Dy 0.580 0.361 0.067
Dy 0.074 0.861 0.803
Ho 0.512 0.988 0.291
Ho 0.986 0.514 0.270
Ho 0.988 0.512 0.709
Ho 0.514 0.986 0.730
Sc 0.482 0.018 0.983
Sc 0.018 0.482 0.017

Crystal system: monoclinic
Formation energy (meV/atom): 123
M_tot (μB/atom): 0.00


Entry 3:
Here is crystalline RuSe at its relaxed geometry from Alexandria. Energies are from PBE.

Unit cell a=5.489 b=5.489 c=3.860 alpha=90.00 beta=90.00 gamma=146.57
Positions (direct):
Ru 0.403 0.597 0.250
Ru 0.597 0.403 0.750
Se 0.155 0.845 0.250
Se 0.845 0.155 0.750

Crystal system: orthorhombic
Energy relative to the elements, uncorrected (meV/atom): 163
M_tot (μB/atom): 0.00


Entry 4:
Here is crystalline CsHgSeO4 at its relaxed geometry from Alexandria. Energies are from PBE.

Unit cell a=6.518 b=6.518 c=6.373 alpha=120.76 beta=120.76 gamma=90.00
Positions (direct):
O 0.245 0.042 0.715
O 0.958 0.530 0.285
O 0.327 0.755 0.285
O 0.470 0.673 0.715
Cs 0.000 0.000 0.000
Hg 0.500 0.500 0.000
Se 0.250 0.750 0.500

Crystal system: tetragonal
Energy relative to the elements, uncorrected (meV/atom): -817
M_tot (μB/atom): 0.00


Entry 5:
Here is crystalline Pr2SmEr3As6 at its relaxed geometry from Alexandria. Energies are from PBE.

Unit cell a=4.184 b=8.356 c=9.344 alpha=102.83 beta=102.94 gamma=90.00
Positions (direct):
As 0.332 0.925 0.663
As 0.003 0.746 0.007
As 0.997 0.254 0.993
As 0.664 0.591 0.327
As 0.668 0.075 0.337
As 0.336 0.409 0.673
Pr 0.166 0.333 0.332
Pr 0.834 0.667 0.668
Er 0.833 0.166 0.666
Er 0.500 0.500 0.000
Er 0.167 0.834 0.334
Sm 0.500 0.000 0.000

Crystal system: monoclinic
Formation energy (meV/atom): -1504
M_tot (μB/atom): 0.00


Entry 6:
Here is crystalline ErAl2GaNi4 at its relaxed geometry from Alexandria. Energies are from PBE.

Unit cell a=4.070 b=4.070 c=8.390 alpha=75.96 beta=75.96 gamma=60.00
Positions (direct):
Ni 0.403 0.403 0.792
Ni 0.597 0.597 0.208
Ni 0.132 0.132 0.605
Ni 0.868 0.868 0.395
Ga 0.500 0.500 0.500
Al 0.241 0.241 0.276
Al 0.759 0.759 0.724
Er 0.000 0.000 0.000

Crystal system: trigonal
Formation energy (meV/atom): -521
M_tot (μB/atom): 0.00